NdErHgRh: relaxed, PBE-GGA.

Calculated values
Fermi-level density of states	2.555	states/eV/f.u.
DFT total energy	-19.2	eV/cell
calculated formation energy	-0.56	eV/atom

Cell lengths 5.1172, 5.1172, 5.1172 Å; angles 60.00, 60.00, 60.00 degrees
With the nearest neighbours (Å) after each atom.
Positions (direct):
Nd1 0.0000 0.0000 0.0000  4 Rh 3.13, 4 Hg 3.13
Er1 0.5000 0.5000 0.5000  4 Hg 3.13, 4 Rh 3.13
Hg1 0.2500 0.2500 0.2500  4 Nd 3.13, 4 Er 3.13
Rh1 0.7500 0.7500 0.7500  4 Er 3.13, 4 Nd 3.13